A geometry-optimized La2MgCdRh structure, computed with PBE-GGA.

Output
For the density of states at the Fermi level, the calculation gives 4.19 states/eV/cell. For the formation energy, the calculation gives -385 meV per atom. The value obtained for the energy above the lowest structure with this stoichiometry is 0.000 eV/atom. Its spin magnetization is 0.0 μB per formula unit. The space group is No. 123.

Cell lengths 5.4724, 5.4724, 5.1545 Å; angles 90.00, 90.00, 90.00 degrees
With the nearest neighbours (Å) after each atom.
Fractional coordinates of all 5 atoms:
La1 0.5000 0.0000 0.0000  2 Rh 2.74
Cd1 0.5000 0.5000 0.5000  8 La 3.76, 4 Mg 3.87
Rh1 0.0000 0.0000 0.0000  2 Mg 2.58, 4 La 2.74
La2 0.0000 0.5000 0.0000  2 Rh 2.74
Mg1 0.0000 0.0000 0.5000  2 Rh 2.58